# 1
Compound: Tm3MnFe8
Source: the Alexandria database
Functional: PBE
Structure: optimized geometry

Summary:
**Final energy**: -7.5908 eV per atom
**ΔE_f**: -0.067 eV/atom

Lattice parameters (Å, degrees): 4.9774 4.9774 8.6408 73.26 73.26 60.00
Last column: magnetic moment on the atom in μB.
Fractional positions:
Fe 0.9382 0.4424 0.6813  1.82
Fe 0.1880 0.1880 0.4360  1.86
Fe 0.4357 0.9360 0.1925  1.76
Fe 0.9382 0.9382 0.6813  1.82
Fe 0.9360 0.4357 0.1925  1.76
Fe 0.4424 0.9382 0.6813  1.82
Fe 0.4357 0.4357 0.1925  1.76
Fe 0.6874 0.6874 0.9379  1.79
Tm 0.5036 0.5036 0.4893  -0.52
Tm 0.9953 0.9953 0.0142  -0.51
Tm 0.3756 0.3756 0.8733  -0.58
Mn 0.8741 0.8741 0.3778  3.43


# 2
Compound: TmMnFe
Source: the Alexandria database
Functional: PBE
Structure: optimized geometry

Summary:
**Final energy**: -7.3977 eV per atom
**ΔE_f**: -0.030 eV/atom

Lattice parameters (Å, degrees): 5.0887 5.0887 5.0887 88.36 122.48 119.45
Last column: magnetic moment on the atom in μB.
Fractional positions:
Tm 0.7500 0.8728 0.1228  -0.39
Tm 0.2500 0.1272 0.8772  -0.39
Fe 0.5000 0.0000 0.5000  1.59
Fe 0.0000 0.5000 0.5000  1.59
Mn 0.0000 0.5000 0.0000  0.97
Mn 0.5000 0.5000 0.5000  0.97


# 3
Compound: UMnFe
Source: the Alexandria database
Functional: PBE
Structure: optimized geometry

Summary:
**Final energy**: -9.3983 eV per atom
**ΔE_f**: 0.242 eV/atom

Lattice parameters (Å, degrees): 3.6393 3.6393 4.0054 90.00 90.00 120.00
Fractional positions:
Fe 0.6667 0.3333 0.2575
Mn 0.0000 0.0000 0.0732
U 0.3333 0.6667 0.6693